P:
Entry from Alexandria: a relaxed AcAlAg3 crystal (PBE-GGA).

Cell lengths 4.7761, 9.3693, 10.3953 Å; angles 90.00, 90.00, 90.00 degrees
Last column: nearest neighbours and their distance in Å.
Positions (direct):
Ac  0.2500  0.6953  0.4941  9 Ag 3.26-3.65, 2 Al 3.47
Al  0.7500  0.9100  0.3485  3 Ag 2.55-2.65
Ag  0.2500  0.8614  0.2047  2 Ag 2.79-2.93, 2 Al 2.85
Ag  0.7500  0.6366  0.2867  2 Al 2.55-2.64
Ag  0.2500  0.3614  0.2953  2 Ag 2.79-2.93, 2 Al 2.85
Ag  0.2500  0.0699  0.3970  3 Al 2.65-2.86, 2 Ag 2.79-2.93
Ag  0.2500  0.5699  0.1030  3 Al 2.65-2.86, 2 Ag 2.79-2.93
Al  0.2500  0.5900  0.8485  3 Ag 2.55-2.65
Ag  0.7500  0.9301  0.6030  3 Al 2.65-2.86, 2 Ag 2.79-2.93
Ag  0.2500  0.8634  0.7867  2 Al 2.55-2.64
Ac  0.7500  0.3047  0.5059  9 Ag 3.26-3.65, 2 Al 3.47
Ac  0.7500  0.8047  0.9941  9 Ag 3.26-3.65, 2 Al 3.47
Ag  0.7500  0.4301  0.8970  3 Al 2.65-2.86, 2 Ag 2.79-2.93
Ag  0.7500  0.1366  0.2133  2 Al 2.55-2.64
Ac  0.2500  0.1953  0.0059  9 Ag 3.26-3.65, 2 Al 3.47
Al  0.7500  0.4100  0.1515  3 Ag 2.55-2.65
Al  0.2500  0.0900  0.6515  3 Ag 2.55-2.65
Ag  0.7500  0.1386  0.7953  2 Ag 2.79-2.93, 2 Al 2.85
Ag  0.7500  0.6386  0.7047  2 Ag 2.79-2.93, 2 Al 2.85
Ag  0.2500  0.3634  0.7133  2 Al 2.55-2.64

Results
symmetry = No. 62
volume = 465.17 Å³/cell
density = 8.247 Mg/m³


Q:
Entry from Alexandria: a relaxed AcAlAg3 crystal (PBE-GGA).

Cell lengths 6.7548, 6.7548, 12.1682 Å; angles 90.00, 90.00, 120.00 degrees
Last column: nearest neighbours and their distance in Å.
Positions (direct):
Ag  0.5000  0.5000  0.5000  2 Al 2.58
Al  0.6667  0.3333  0.3607  6 Ag 2.58-2.65, 1 Al 2.70
Ag  0.8614  0.1386  0.2500  2 Al 2.65, 2 Ag 2.81
Ag  0.0000  0.5000  0.5000  2 Al 2.58
Ac  0.0000  0.0000  0.0000  12 Ag 3.38-3.45
Ag  0.5000  0.0000  0.5000  2 Al 2.58
Ac  0.6667  0.3333  0.7500  12 Ag 3.39-3.61
Ag  0.5000  0.0000  0.0000  2 Al 2.58
Ac  0.0000  0.0000  0.5000  12 Ag 3.38-3.45
Ag  0.8614  0.7229  0.2500  2 Al 2.65, 2 Ag 2.81
Al  0.3333  0.6667  0.8607  6 Ag 2.58-2.65, 1 Al 2.70
Ag  0.2771  0.1386  0.2500  2 Al 2.65, 2 Ag 2.81
Al  0.6667  0.3333  0.1393  6 Ag 2.58-2.65, 1 Al 2.70
Ag  0.7229  0.8614  0.7500  2 Al 2.65, 2 Ag 2.81
Ac  0.3333  0.6667  0.2500  12 Ag 3.39-3.61
Ag  0.5000  0.5000  0.0000  2 Al 2.58
Al  0.3333  0.6667  0.6393  6 Ag 2.58-2.65, 1 Al 2.70
Ag  0.1386  0.8614  0.7500  2 Al 2.65, 2 Ag 2.81
Ag  0.0000  0.5000  0.0000  2 Al 2.58
Ag  0.1386  0.2771  0.7500  2 Al 2.65, 2 Ag 2.81

Results
symmetry = No. 194
volume = 480.82 Å³/cell
density = 7.979 Mg/m³


R:
Entry from Alexandria: a relaxed AcAlAg3 crystal (PBE-GGA).

Cell lengths 4.9990, 4.9990, 4.9990 Å; angles 90.00, 90.00, 90.00 degrees
Last column: nearest neighbours and their distance in Å.
Positions (direct):
Al  0.0000  0.0000  0.0000  6 Ag 2.50
Ag  0.5000  0.0000  0.0000  2 Al 2.50
Ac  0.5000  0.5000  0.5000  12 Ag 3.53
Ag  0.0000  0.5000  0.0000  2 Al 2.50
Ag  0.0000  0.0000  0.5000  2 Al 2.50

Results
symmetry = No. 221
volume = 124.93 Å³/cell
density = 7.677 Mg/m³


Which structure is the most stable? The one labeled P.


P:
Entry from Alexandria: a relaxed Ac2Al2Ag3 crystal (PBE-GGA).

Cell lengths 4.5428, 7.5656, 10.5555 Å; angles 90.00, 102.43, 90.00 degrees
Last column: nearest neighbours and their distance in Å.
Positions (direct):
Ac  0.1554  0.2500  0.3108  6 Ag 3.29-3.36, 6 Al 3.38-3.42
Ag  0.4363  0.5601  0.8726  2 Ag 2.78-2.87, 1 Al 2.83
Al  0.3068  0.0644  0.6136  4 Ag 2.75-2.92, 1 Al 2.81
Ag  0.4363  0.9399  0.8726  2 Ag 2.78-2.87, 1 Al 2.83
Ag  0.7758  0.2500  0.5516  6 Al 2.75-2.92
Ac  0.8446  0.7500  0.6892  6 Ag 3.29-3.36, 6 Al 3.38-3.42
Al  0.6932  0.5644  0.3864  4 Ag 2.75-2.92, 1 Al 2.81
Ag  0.2242  0.7500  0.4484  6 Al 2.75-2.92
Al  0.6932  0.9356  0.3864  4 Ag 2.75-2.92, 1 Al 2.81
Ag  0.5637  0.0601  0.1274  2 Ag 2.78-2.87, 1 Al 2.83
Ac  0.0592  0.7500  0.1183  5 Ag 3.27-3.40
Al  0.3068  0.4356  0.6136  4 Ag 2.75-2.92, 1 Al 2.81
Ac  0.9408  0.2500  0.8817  5 Ag 3.27-3.40
Ag  0.5637  0.4399  0.1274  2 Ag 2.78-2.87, 1 Al 2.83

Results
symmetry = No. 63
volume = 354.29 Å³/cell
density = 7.795 Mg/m³


Q:
Entry from Alexandria: a relaxed Ac2Al2Ag3 crystal (PBE-GGA).

Cell lengths 4.3526, 6.2876, 7.7231 Å; angles 116.43, 90.00, 110.25 degrees
Last column: nearest neighbours and their distance in Å.
Positions (direct):
Ag  0.5000  0.0000  0.0000  4 Al 2.73, 2 Ag 2.92
Ac  0.1350  0.2701  0.7627  4 Al 3.35-3.38, 7 Ag 3.40-3.66
Al  0.8608  0.7217  0.7972  5 Ag 2.73-2.79
Ag  0.6415  0.2831  0.4293  3 Al 2.78-2.79, 1 Ag 2.92
Ag  0.3585  0.7169  0.5707  3 Al 2.78-2.79, 1 Ag 2.92
Al  0.1392  0.2783  0.2028  5 Ag 2.73-2.79
Ac  0.8650  0.7299  0.2373  4 Al 3.35-3.38, 7 Ag 3.40-3.66

Results
symmetry = No. 12
volume = 174.56 Å³/cell
density = 7.911 Mg/m³


Which structure is the most stable? The one labeled P.


P:
Entry from Alexandria: a relaxed AcAl2Ag6 crystal (PBE-GGA).

Cell lengths 8.5533, 8.5533, 8.5533 Å; angles 60.00, 60.00, 60.00 degrees
Last column: nearest neighbours and their distance in Å.
Positions (direct):
Ag  0.2393  0.7607  0.7607  2 Al 2.55
Ag  0.7607  0.7607  0.2393  2 Al 2.55
Al  0.6250  0.1250  0.1250  6 Ag 2.55
Ag  0.4893  0.0107  0.4893  2 Al 2.55
Ac  0.5000  0.5000  0.5000  6 Ag 3.15
Ag  0.4893  0.0107  0.0107  2 Al 2.55
Ag  0.7607  0.2393  0.7607  2 Al 2.55
Al  0.1250  0.1250  0.1250  6 Ag 2.55
Ag  0.2393  0.7607  0.2393  2 Al 2.55
Al  0.1250  0.1250  0.6250  6 Ag 2.55
Ac  0.7500  0.7500  0.7500  6 Ag 3.15
Ag  0.0107  0.4893  0.4893  2 Al 2.55
Ag  0.0107  0.4893  0.0107  2 Al 2.55
Al  0.1250  0.6250  0.1250  6 Ag 2.55
Ag  0.0107  0.0107  0.4893  2 Al 2.55
Ag  0.4893  0.4893  0.0107  2 Al 2.55
Ag  0.2393  0.2393  0.7607  2 Al 2.55
Ag  0.7607  0.2393  0.2393  2 Al 2.55

Results
symmetry = No. 227
volume = 442.47 Å³/cell
density = 6.967 Mg/m³


Q:
Entry from Alexandria: a relaxed AcAl2Ag6 crystal (PBE-GGA).

Cell lengths 4.6594, 4.6594, 8.6058 Å; angles 90.00, 90.00, 90.00 degrees
Last column: nearest neighbours and their distance in Å.
Positions (direct):
Ag  0.5000  0.0000  0.6987  2 Al 2.65, 4 Ag 2.89
Ag  0.0000  0.5000  0.6987  2 Al 2.65, 4 Ag 2.89
Ag  0.5000  0.0000  0.3013  2 Al 2.65, 4 Ag 2.89
Al  0.5000  0.5000  0.8458  4 Ag 2.65, 1 Al 2.65
Al  0.5000  0.5000  0.1542  4 Ag 2.65, 1 Al 2.65
Ag  0.5000  0.5000  0.5000  8 Ag 2.89, 2 Al 2.98
Ag  0.0000  0.5000  0.3013  2 Al 2.65, 4 Ag 2.89
Ag  0.0000  0.0000  0.5000  8 Ag 2.89
Ac  0.0000  0.0000  0.0000  8 Ag 3.49, 8 Al 3.55

Results
symmetry = No. 123
volume = 186.84 Å³/cell
density = 8.249 Mg/m³


Which structure is the most stable? The one labeled Q.


P:
Entry from Alexandria: a relaxed AcLaAlAg crystal (PBE-GGA).

Cell lengths 5.5258, 5.5258, 5.5258 Å; angles 60.00, 60.00, 60.00 degrees
Last column: nearest neighbours and their distance in Å.
Positions (direct):
La  0.5000  0.5000  0.5000  4 Ag 3.38, 4 Al 3.38
Al  0.7500  0.7500  0.7500  4 Ac 3.38, 4 La 3.38
Ag  0.2500  0.2500  0.2500  4 Ac 3.38, 4 La 3.38
Ac  0.0000  0.0000  0.0000  4 Al 3.38, 4 Ag 3.38

Results
symmetry = No. 216
volume = 119.31 Å³/cell
density = 6.969 Mg/m³


Q:
Entry from Alexandria: a relaxed AcLaAlAg crystal (PBE-GGA).

Cell lengths 3.8455, 3.8455, 7.9407 Å; angles 90.00, 90.00, 90.00 degrees
Last column: nearest neighbours and their distance in Å.
Positions (direct):
Al  0.5000  0.5000  0.1208  4 La 3.29, 4 Ac 3.41
Ag  0.5000  0.5000  0.5916  4 La 3.31, 4 Ac 3.47
La  0.0000  0.0000  0.3534  4 Al 3.29, 4 Ag 3.31
Ac  0.0000  0.0000  0.8622  4 Al 3.41, 4 Ag 3.47

Results
symmetry = No. 99
volume = 117.43 Å³/cell
density = 7.081 Mg/m³


Which structure is the most stable? The one labeled Q.


P:
Entry from Alexandria: a relaxed AcPrAlAg crystal (PBE-GGA).

Cell lengths 5.4962, 5.4962, 5.4962 Å; angles 60.00, 60.00, 60.00 degrees
Last column: nearest neighbours and their distance in Å.
Positions (direct):
Pr  0.5000  0.5000  0.5000  4 Al 3.37, 4 Ag 3.37
Al  0.7500  0.7500  0.7500  4 Ac 3.37, 4 Pr 3.37
Ag  0.2500  0.2500  0.2500  4 Pr 3.37, 4 Ac 3.37
Ac  0.0000  0.0000  0.0000  4 Ag 3.37, 4 Al 3.37

Results
symmetry = No. 216
volume = 117.40 Å³/cell
density = 7.111 Mg/m³


Q:
Entry from Alexandria: a relaxed AcPrAlAg crystal (PBE-GGA).

Cell lengths 3.8204, 3.8204, 7.9087 Å; angles 90.00, 90.00, 90.00 degrees
Last column: nearest neighbours and their distance in Å.
Positions (direct):
Pr  0.0000  0.0000  0.3553  4 Ag 3.25, 4 Al 3.26
Ag  0.5000  0.5000  0.5838  4 Pr 3.25, 4 Ac 3.49, 1 Al 3.62
Ac  0.0000  0.0000  0.8633  4 Al 3.41, 4 Ag 3.49
Al  0.5000  0.5000  0.1255  4 Pr 3.26, 4 Ac 3.41, 1 Ag 3.62

Results
symmetry = No. 99
volume = 115.43 Å³/cell
density = 7.233 Mg/m³


Which structure is the most stable? The one labeled Q.